(1)
The following is a PBE calculation of an optimized crystal structure of Pm8Ir2Rh3, from Alexandria.

As for the formation enthalpy at 0 K: -0.513 eV/atom. The value obtained for the energy above the lowest structure with this stoichiometry is 93 kJ/mol of formula units. Its density is 8.10 g/cm3.

The structure belongs to space group C2/m (No. 12); the cell edges are 15.331, 7.652 and 6.974 Å and the angles 90.00°, 111.80° and 90.00°. Symmetry generates all atoms from Pm at (0.101, 0.000, 0.428), Pm at (0.121, 0.246, 0.917), Pm at (0.138, 0.500, 0.428), Ir at (0.250, 0.000, 0.823), Rh at (0.000, 0.000, 0.000) and Rh at (0.000, 0.300, 0.500).

=====

(2)
The following is a PBE calculation of an optimized crystal structure of Dy5Co2Bi, from Alexandria.

As for the formation enthalpy at 0 K: -0.353 eV/atom. Its density is 9.50 g/cm3.

The structure belongs to space group I4/mcm (No. 140); the cell edges are 7.634, 7.634 and 13.670 Å and the angles 90.00°, 90.00° and 90.00°. Symmetry generates all atoms from Dy at (0.000, 0.000, 0.000), Dy at (0.157, 0.343, 0.129), Co at (0.137, 0.363, 0.500) and Bi at (0.000, 0.000, 0.250).

=====

(3)
The following is a PBE calculation of an optimized crystal structure of PaFe4Si, from Alexandria.

Its uncorrected formation energy is -0.082 eV per atom. The value obtained for the energy above the lowest structure with this stoichiometry is 78 kJ/mol of formula units. Its density is 9.56 g/cm3.

The structure belongs to space group F-43m (No. 216); the cell edges are 6.947, 6.947 and 6.947 Å and the angles 90.00°, 90.00° and 90.00°. Symmetry generates all atoms from Pa at (0.000, 0.000, 0.000), Fe at (0.124, 0.124, 0.376) and Si at (0.250, 0.250, 0.750).

=====

(4)
The following is a PBE calculation of an optimized crystal structure of BaZnRe, from Alexandria.

As for the formation enthalpy at 0 K: 0.749 eV/atom. The value obtained for the energy above the lowest structure with this stoichiometry is 0 kJ/mol of formula units. Its density is 9.03 g/cm3.

The structure belongs to space group I4mm (No. 107); the cell edges are 3.520, 3.520 and 11.547 Å and the angles 90.00°, 90.00° and 90.00°. Symmetry generates all atoms from Ba at (0.000, 0.000, 0.000), Zn at (0.000, 0.000, 0.728) and Re at (0.000, 0.000, 0.286).